VASP calculation (PBE) on a relaxed La8Bi2Rh crystal.

Properties
As for the volume: 32.67 A^3/atom. Its symmetry is C2/m. The calculation puts the total magnetization at 0.00 Bohr magnetons per cell. The value obtained for the formation energy is -472 meV per atom.

Cell and atoms, written as CIF:
```
data_La8Bi2Rh
_space_group_name_H-M_alt 'P 1'
_space_group_IT_number 1
_space_group_name_Hall 'P 1'
_cell_length_a 5.601
_cell_length_b 7.000
_cell_length_c 10.282
_cell_angle_alpha 111.24
_cell_angle_beta 105.81
_cell_angle_gamma 90.00
loop_
_atom_site_label
_atom_site_type_symbol
_atom_site_fract_x
_atom_site_fract_y
_atom_site_fract_z
_atom_site_occupancy
La1 La 0.413 0.572 0.827 1
La2 La 0.642 0.971 0.283 1
La3 La 0.780 0.698 0.560 1
La4 La 0.994 0.217 0.988 1
La5 La 0.220 0.302 0.440 1
La6 La 0.358 0.029 0.717 1
La7 La 0.587 0.428 0.173 1
La8 La 0.006 0.783 0.012 1
Bi1 Bi 0.830 0.283 0.659 1
Bi2 Bi 0.170 0.717 0.341 1
Rh1 Rh 0.500 0.000 0.000 1
```